An optimized crystal structure of TmScCd. Source: the Alexandria database, functional PBE.

Fermi-level density of states ... 6.783 states/eV per cell
E_form ... -0.18 eV/atom
Electronic total energy ... -0.300 Ry per atom
Excess energy over the best structure of this formula in the dataset ... 0.000 kcal/mol of atoms
Total moment ... 1.0 μB per formula unit

abc: 3.440 3.440 12.718
angles: 90.00 90.00 90.00
Space group I4mm (No. 107)
Inequivalent atoms, fractional coordinates:
Tm 0.000 0.000 0.000
Sc 0.000 0.000 0.318
Cd 0.000 0.000 0.669

An optimized crystal structure of TmSc4Cd2. Source: the Alexandria database, functional PBE.

Fermi-level density of states ... 16.798 states/eV per cell
E_form ... 0.00 eV/atom
Electronic total energy ... -0.332 Ry per atom
Total moment ... 0.1 μB per formula unit

abc: 7.546 7.546 5.957
angles: 90.00 90.00 90.00
Space group I4/mmm (No. 139)
Inequivalent atoms, fractional coordinates:
Tm 0.000 0.000 0.000
Sc 0.200 0.200 0.500
Cd 0.000 0.500 0.250

An optimized crystal structure of Tm5Sc4Cd2. Source: the Alexandria database, functional PBE.

Fermi-level density of states ... 33.667 states/eV per cell
E_form ... -0.05 eV/atom
Electronic total energy ... -0.335 Ry per atom
Total moment ... 0.0 μB per formula unit

abc: 8.485 19.930 3.461
angles: 90.00 90.00 90.00
Space group Pbam (No. 55)
Inequivalent atoms, fractional coordinates:
Tm 0.000 0.000 0.000
Tm 0.127 0.435 0.000
Tm 0.239 0.216 0.000
Sc 0.072 0.854 0.500
Sc 0.217 0.574 0.500
Cd 0.037 0.310 0.500

An optimized crystal structure of Tm2ScCd3. Source: the Alexandria database, functional PBE.

Fermi-level density of states ... 5.077 states/eV per cell
E_form ... -0.30 eV/atom
Electronic total energy ... -0.243 Ry per atom
Excess energy over the best structure of this formula in the dataset ... 0.000 kcal/mol of atoms
Total moment ... 0.0 μB per formula unit

abc: 3.645 3.645 10.930
angles: 90.00 90.00 90.00
Space group P4/mmm (No. 123)
Inequivalent atoms, fractional coordinates:
Tm 0.000 0.000 0.171
Sc 0.000 0.000 0.500
Cd 0.500 0.500 0.000
Cd 0.500 0.500 0.346